# GGA-PBE ReAsWSe2, relaxed
# - formation energy from raw total energies (meV per atom) = 1458
# - energy relative to the lowest polymorph listed for this composition (meV per atom) = 65
# - D(E_F) (states/eV per cell) = 4.55
# - volume (Å³/atom) = 22.5
data_ReAsWSe2
_cell_length_a 4.860
_cell_length_b 4.860
_cell_length_c 4.774
_cell_angle_alpha 90.00
_cell_angle_beta 90.00
_cell_angle_gamma 90.00
_symmetry_space_group_name_H-M 'P 4/m m m'
_symmetry_Int_Tables_number 123
_symmetry_space_group_name_Hall '-P 4 2'
loop_
_atom_site_label
_atom_site_type_symbol
_atom_site_fract_x
_atom_site_fract_y
_atom_site_fract_z
Re1 Re 0.000 0.000 0.000
As1 As 0.000 0.000 0.500
W1 W 0.500 0.500 0.500
Se1 Se 0.000 0.500 0.000